Entry 1:
Compound: Pm3Nd3Cd
Source: the Alexandria database
Functional: GGA-PBE
Structure: relaxed

The structure belongs to space group R-3 (No. 148, hexagonal axes); the cell edges are 8.6705, 8.6705 and 22.0015 Å and the angles 90.00°, 90.00° and 120.00°. The inequivalent atoms are Pm at (0.0466, 0.7838, 0.2153), Nd at (0.0443, 0.7756, 0.0560) and Cd at (0.0000, 0.0000, 0.3356).

For the formation energy, the calculation gives 0.134 eV per atom. Its density is 6.817 g/cm3. The size of the total moment is 0.00 μB per cell. The offset from the most stable computed form is 0.168 eV per atom.

Entry 2:
Compound: DyZrPdRu
Source: the Alexandria database
Functional: GGA-PBE
Structure: relaxed

The structure belongs to space group F-43m (No. 216); the cell edges are 6.7608, 6.7608 and 6.7608 Å and the angles 90.00°, 90.00° and 90.00°. The inequivalent atoms are Dy at (0.0000, 0.0000, 0.0000), Zr at (0.0000, 0.0000, 0.5000), Pd at (0.2500, 0.2500, 0.7500) and Ru at (0.2500, 0.2500, 0.2500).

For the formation energy, the calculation gives -0.591 eV per atom. Its density is 9.913 g/cm3. The size of the total moment is 0.00 μB per cell.